## one
Below is crystalline CePm2P at its relaxed geometry, with properties calculated at the PBE level.

a = 3.7205 Å, b = 3.7205 Å, c = 7.5857 Å
α = 90.00°, β = 90.00°, γ = 90.00°
With the nearest neighbours (Å) after each atom.
Sites, in units of the cell vectors:
Ce  0.0000  0.0000  0.0000  8 Pm 3.46, 4 Ce 3.72, 2 P 3.79
Pm  0.5000  0.5000  0.2971  4 P 3.05, 1 Pm 3.08
Pm  0.5000  0.5000  0.7029  4 P 3.05, 1 Pm 3.08
P  0.0000  0.0000  0.5000  8 Pm 3.05

density of states at the Fermi level = 4.7 states/eV/cell
symmetry = No. 123

## two
Below is crystalline CePm2P at its relaxed geometry, with properties calculated at the PBE level.

a = 9.7004 Å, b = 9.7004 Å, c = 9.7004 Å
α = 23.07°, β = 23.07°, γ = 23.07°
With the nearest neighbours (Å) after each atom.
Sites, in units of the cell vectors:
Ce  0.0000  0.0000  0.0000  6 Pm 3.75, 6 Ce 3.88
Pm  0.2269  0.2269  0.2269  3 P 2.82
Pm  0.7731  0.7731  0.7731  3 P 2.82
P  0.5000  0.5000  0.5000  6 Pm 2.82

density of states at the Fermi level = 7.6 states/eV/cell
symmetry = No. 166

Computed stability ranking, most favorable first: two, one